An optimized crystal structure of Y2Zn3Ga4Au. Source: the Alexandria database, functional GGA-PBE.

Cell lengths 4.2047, 4.2047, 10.6684 Å; angles 90.00, 90.00, 90.00 degrees
Positions (direct):
Ga: 0.0000 0.0000 0.0000
Ga: 0.0000 0.5000 0.3595
Ga: 0.5000 0.5000 0.0000
Ga: 0.5000 0.0000 0.6405
Au: 0.5000 0.5000 0.5000
Zn: 0.0000 0.0000 0.5000
Zn: 0.5000 0.0000 0.8650
Zn: 0.0000 0.5000 0.1350
Y: 0.5000 0.0000 0.2456
Y: 0.0000 0.5000 0.7544

Properties
Fermi-level density of states = 0.40 states/eV/atom
Final energy = -3.682 eV/atom
Magnetic moment = 0.0000 μB/atom
Energy of formation from the pure elements = -469 meV per atom

An optimized crystal structure of MgBeMo2. Source: the Alexandria database, functional GGA-PBE.

Cell lengths 3.1819, 3.1819, 6.1698 Å; angles 90.00, 90.00, 90.00 degrees
Positions (direct):
Mo: 0.0000 0.0000 0.0455
Mo: 0.5000 0.5000 0.2580
Mg: 0.5000 0.5000 0.7335
Be: 0.0000 0.0000 0.4630

Properties
Fermi-level density of states = 0.86 states/eV/atom
Final energy = -6.502 eV/atom
Magnetic moment = 0.0000 μB/atom
Excess energy over the best structure of this formula in the dataset = 18 kJ/mol of formula units
Energy of formation from the pure elements = 243 meV per atom

An optimized crystal structure of Zr2AlBi2. Source: the Alexandria database, functional GGA-PBE.

Cell lengths 8.1051, 8.1051, 3.8642 Å; angles 90.00, 90.00, 90.00 degrees
Positions (direct):
Zr: 0.1417 0.6417 0.5000
Zr: 0.6417 0.8583 0.5000
Zr: 0.8583 0.3583 0.5000
Zr: 0.3583 0.1417 0.5000
Bi: 0.6522 0.1522 0.0000
Bi: 0.1522 0.3478 0.0000
Bi: 0.3478 0.8478 0.0000
Bi: 0.8478 0.6522 0.0000
Al: 0.0000 0.0000 0.0000
Al: 0.5000 0.5000 0.0000

Properties
Fermi-level density of states = 0.89 states/eV/atom
Final energy = -5.694 eV/atom
Magnetic moment = 0.0000 μB/atom
Excess energy over the best structure of this formula in the dataset = 93 kJ/mol of formula units
Energy of formation from the pure elements = 27 meV per atom

An optimized crystal structure of TmPa. Source: the Alexandria database, functional GGA-PBE.

Cell lengths 3.3378, 4.6955, 6.9118 Å; angles 90.00, 90.00, 90.00 degrees
Positions (direct):
Pa: 0.2501 0.2500 0.1121
Pa: 0.7499 0.7500 0.8879
Tm: 0.2499 0.2500 0.6280
Tm: 0.7501 0.7500 0.3720

Properties
Fermi-level density of states = 1.48 states/eV/atom
Final energy = -6.848 eV/atom
Magnetic moment = 0.0000 μB/atom
Energy of formation from the pure elements = 136 meV per atom